YGa5Co: optimized geometry, PBE.

```
data_YGa5Co
_chemical_formula_sum 'Y1 Ga5 Co1'
_space_group_name_H-M_alt 'P 4/m m m'
_space_group_IT_number 123
_space_group_name_Hall '-P 4 2'
_cell_length_a 4.222
_cell_length_b 4.222
_cell_length_c 6.848
_cell_angle_alpha 90.00
_cell_angle_beta 90.00
_cell_angle_gamma 90.00
loop_
_atom_site_label
_atom_site_type_symbol
_atom_site_fract_x
_atom_site_fract_y
_atom_site_fract_z
_atom_site_occupancy
Y1 Y 0.000 0.000 0.000 1
Ga1 Ga 0.000 0.500 0.311 1
Ga2 Ga 0.500 0.500 0.000 1
Co1 Co 0.000 0.000 0.500 1
```

Calculated values
As for the crystal system: tetragonal. As for the calculated formation energy: -0.463 eV per atom.